# RbBe2PdI

A geometry-optimized RbBe2PdI structure (PBE, Alexandria).

Properties
- Calculated total energy: -2.861 eV per atom
- Mass density: 4348 kg/m³
- V: 25.727 Å³ per atom

Cell: 4.635 4.635 5.987 Å, 90.00 90.00 90.00°
Positions (direct):
Rb 0.000 0.000 0.000
Be 0.000 0.500 0.500
Be 0.500 0.000 0.500
Pd 0.500 0.500 0.500
I 0.500 0.500 0.000

# Ta2BePdI

A geometry-optimized Ta2BePdI structure (PBE, Alexandria).

Properties
- Calculated total energy: -4.770 eV per atom
- Mass density: 8311 kg/m³
- V: 24.146 Å³ per atom

Cell: 5.004 5.004 4.821 Å, 90.00 90.00 90.00°
Positions (direct):
Ta 0.000 0.500 0.000
Ta 0.500 0.000 0.000
Be 0.000 0.000 0.500
Pd 0.500 0.500 0.500
I 0.500 0.500 0.000

# BeTePdI2

A geometry-optimized BeTePdI2 structure (PBE, Alexandria).

Properties
- Calculated total energy: -2.480 eV per atom
- ΔE to the lowest computed polymorph: 0 meV per atom
- Mass density: 6062 kg/m³
- V: 27.218 Å³ per atom

Cell: 5.204 5.204 5.024 Å, 90.00 90.00 90.00°
Positions (direct):
Be 0.000 0.000 0.000
Te 0.000 0.000 0.500
Pd 0.500 0.500 0.500
I 0.000 0.500 0.000
I 0.500 0.000 0.000

# BeTe2PdI

A geometry-optimized BeTe2PdI structure (PBE, Alexandria).

Properties
- Calculated total energy: -2.770 eV per atom
- ΔE to the lowest computed polymorph: 0 meV per atom
- Mass density: 6499 kg/m³
- V: 25.425 Å³ per atom

Cell: 4.981 4.981 5.124 Å, 90.00 90.00 90.00°
Positions (direct):
Be 0.000 0.000 0.000
Te 0.000 0.500 0.000
Te 0.500 0.000 0.000
Pd 0.500 0.500 0.500
I 0.000 0.000 0.500

# BeTe2PdI

A geometry-optimized BeTe2PdI structure (PBE, Alexandria).

Properties
- Calculated total energy: -2.575 eV per atom
- ΔE to the lowest computed polymorph: 195 meV per atom
- Mass density: 5391 kg/m³
- V: 30.651 Å³ per atom

Cell: 5.319 5.319 5.417 Å, 90.00 90.00 90.00°
Positions (direct):
Be 0.000 0.000 0.000
Te 0.000 0.500 0.500
Te 0.500 0.000 0.500
Pd 0.500 0.500 0.500
I 0.500 0.500 0.000

# BeTePdI2

A geometry-optimized BeTePdI2 structure (PBE, Alexandria).

Properties
- Calculated total energy: -2.328 eV per atom
- ΔE to the lowest computed polymorph: 152 meV per atom
- Mass density: 5172 kg/m³
- V: 31.904 Å³ per atom

Cell: 5.456 5.456 5.358 Å, 90.00 90.00 90.00°
Positions (direct):
Be 0.000 0.000 0.000
Te 0.500 0.500 0.000
Pd 0.500 0.500 0.500
I 0.000 0.500 0.500
I 0.500 0.000 0.500

# Be2VPdI

A geometry-optimized Be2VPdI structure (PBE, Alexandria).

Properties
- Calculated total energy: -3.951 eV per atom
- Mass density: 5401 kg/m³
- V: 18.589 Å³ per atom

Cell: 4.360 4.360 4.889 Å, 90.00 90.00 90.00°
Positions (direct):
Be 0.000 0.500 0.000
Be 0.500 0.000 0.000
V 0.000 0.000 0.500
Pd 0.000 0.000 0.000
I 0.500 0.500 0.500

# Pm2BeI

A geometry-optimized Pm2BeI structure (PBE, Alexandria).

Properties
- Calculated total energy: -4.033 eV per atom
- Mass density: 6150 kg/m³
- V: 28.748 Å³ per atom

Cell: 8.301 8.301 8.301 Å, 28.49 28.49 28.49°
Positions (direct):
Pm 0.235 0.235 0.235
Pm 0.765 0.765 0.765
Be 0.500 0.500 0.500
I 0.000 0.000 0.000

# Pm7BeI12

A geometry-optimized Pm7BeI12 structure (PBE, Alexandria).

Properties
- Calculated total energy: -3.959 eV per atom
- Mass density: 5376 kg/m³
- V: 39.333 Å³ per atom

Cell: 9.875 9.875 9.875 Å, 107.68 107.68 107.68°
Positions (direct):
Pm 0.000 0.000 0.000
Pm 0.191 0.466 0.396
Pm 0.396 0.191 0.466
Pm 0.466 0.396 0.191
Pm 0.534 0.604 0.809
Pm 0.604 0.809 0.534
Pm 0.809 0.534 0.604
Be 0.500 0.500 0.500
I 0.027 0.109 0.346
I 0.109 0.346 0.027
I 0.185 0.577 0.729
I 0.271 0.815 0.423
I 0.346 0.027 0.109
I 0.423 0.271 0.815
I 0.577 0.729 0.185
I 0.654 0.973 0.891
I 0.729 0.185 0.577
I 0.815 0.423 0.271
I 0.891 0.654 0.973
I 0.973 0.891 0.654

# Pm6BeI12

A geometry-optimized Pm6BeI12 structure (PBE, Alexandria).

Properties
- Calculated total energy: -3.629 eV per atom
- Mass density: 5542 kg/m³
- V: 37.879 Å³ per atom

Cell: 9.234 9.234 9.234 Å, 75.11 75.11 75.11°
Positions (direct):
Pm 0.278 0.278 0.694
Pm 0.278 0.694 0.278
Pm 0.306 0.722 0.722
Pm 0.694 0.278 0.278
Pm 0.722 0.306 0.722
Pm 0.722 0.722 0.306
Be 0.500 0.500 0.500
I 0.052 0.052 0.674
I 0.052 0.674 0.052
I 0.074 0.606 0.606
I 0.326 0.948 0.948
I 0.394 0.394 0.926
I 0.394 0.926 0.394
I 0.606 0.074 0.606
I 0.606 0.606 0.074
I 0.674 0.052 0.052
I 0.926 0.394 0.394
I 0.948 0.326 0.948
I 0.948 0.948 0.326

# Pm8BeSe3I4

A geometry-optimized Pm8BeSe3I4 structure (PBE, Alexandria).

Properties
- Calculated total energy: -4.786 eV per atom
- Mass density: 6631 kg/m³
- V: 29.949 Å³ per atom

Cell: 9.054 9.054 9.054 Å, 56.25 56.25 56.25°
Positions (direct):
Pm 0.231 0.231 0.231
Pm 0.251 0.720 0.720
Pm 0.280 0.280 0.749
Pm 0.280 0.749 0.280
Pm 0.720 0.251 0.720
Pm 0.720 0.720 0.251
Pm 0.749 0.280 0.280
Pm 0.769 0.769 0.769
Be 0.500 0.500 0.500
Se 0.000 0.000 0.500
Se 0.000 0.500 0.000
Se 0.500 0.000 0.000
I 0.000 0.000 0.000
I 0.000 0.500 0.500
I 0.500 0.000 0.500
I 0.500 0.500 0.000

# Pr4BeI5

A geometry-optimized Pr4BeI5 structure (PBE, Alexandria).

Properties
- Calculated total energy: -4.061 eV per atom
- Mass density: 5349 kg/m³
- V: 37.474 Å³ per atom

Cell: 10.081 10.081 9.248 Å, 102.42 102.42 24.13°
Positions (direct):
Pr 0.001 0.001 0.283
Pr 0.354 0.354 0.425
Pr 0.646 0.646 0.575
Pr 0.999 0.999 0.717
Be 0.500 0.500 0.500
I 0.167 0.167 0.843
I 0.173 0.173 0.324
I 0.500 0.500 0.000
I 0.827 0.827 0.676
I 0.833 0.833 0.157

# Pr7BeI12

A geometry-optimized Pr7BeI12 structure (PBE, Alexandria).

Properties
- Calculated total energy: -3.760 eV per atom
- Mass density: 5267 kg/m³
- V: 39.693 Å³ per atom

Cell: 11.620 11.620 11.620 Å, 115.98 115.98 115.98°
Positions (direct):
Pr 0.000 0.000 0.000
Pr 0.168 0.471 0.394
Pr 0.394 0.168 0.471
Pr 0.471 0.394 0.168
Pr 0.529 0.606 0.832
Pr 0.606 0.832 0.529
Pr 0.832 0.529 0.606
Be 0.500 0.500 0.500
I 0.037 0.116 0.337
I 0.116 0.337 0.037
I 0.204 0.584 0.728
I 0.272 0.796 0.416
I 0.337 0.037 0.116
I 0.416 0.272 0.796
I 0.584 0.728 0.204
I 0.663 0.963 0.884
I 0.728 0.204 0.584
I 0.796 0.416 0.272
I 0.884 0.663 0.963
I 0.963 0.884 0.663

# BePtI2

A geometry-optimized BePtI2 structure (PBE, Alexandria).

Properties
- Calculated total energy: -2.257 eV per atom
- ΔE to the lowest computed polymorph: 739 meV per atom
- Mass density: 8560 kg/m³
- V: 22.206 Å³ per atom

Cell: 5.008 5.008 5.008 Å, 60.00 60.00 60.00°
Positions (direct):
Be 0.000 0.000 0.000
Pt 0.500 0.500 0.500
I 0.250 0.250 0.250
I 0.750 0.750 0.750

# BePt2I

A geometry-optimized BePt2I structure (PBE, Alexandria).

Properties
- Calculated total energy: -3.785 eV per atom
- ΔE to the lowest computed polymorph: 338 meV per atom
- Mass density: 12799 kg/m³
- V: 17.064 Å³ per atom

Cell: 4.587 4.587 4.587 Å, 60.00 60.00 60.00°
Positions (direct):
Be 0.000 0.000 0.000
Pt 0.250 0.250 0.250
Pt 0.750 0.750 0.750
I 0.500 0.500 0.500

# Be3PtI

A geometry-optimized Be3PtI structure (PBE, Alexandria).

Properties
- Calculated total energy: -3.395 eV per atom
- ΔE to the lowest computed polymorph: 0 meV per atom
- Mass density: 6489 kg/m³
- V: 17.863 Å³ per atom

Cell: 4.470 4.470 4.470 Å, 90.00 90.00 90.00°
Positions (direct):
Be 0.000 0.000 0.500
Be 0.000 0.500 0.000
Be 0.500 0.000 0.000
Pt 0.000 0.000 0.000
I 0.500 0.500 0.500

# BePtI2

A geometry-optimized BePtI2 structure (PBE, Alexandria).

Properties
- Calculated total energy: -2.995 eV per atom
- ΔE to the lowest computed polymorph: 0 meV per atom
- Mass density: 7309 kg/m³
- V: 26.008 Å³ per atom

Cell: 7.157 7.157 7.157 Å, 130.34 130.34 72.86°
Positions (direct):
Be 0.000 0.000 0.000
Be 0.750 0.250 0.500
Pt 0.250 0.750 0.500
Pt 0.500 0.500 0.000
I 0.093 0.625 0.968
I 0.375 0.343 0.468
I 0.657 0.125 0.032
I 0.875 0.907 0.532

# Be3PtI

A geometry-optimized Be3PtI structure (PBE, Alexandria).

Properties
- Calculated total energy: -1.985 eV per atom
- ΔE to the lowest computed polymorph: 1410 meV per atom
- Mass density: 6046 kg/m³
- V: 19.172 Å³ per atom

Cell: 4.577 4.577 4.577 Å, 90.00 90.00 90.00°
Positions (direct):
Be 0.000 0.000 0.500
Be 0.000 0.500 0.000
Be 0.500 0.000 0.000
Pt 0.500 0.500 0.500
I 0.000 0.000 0.000

# BePt2I

A geometry-optimized BePt2I structure (PBE, Alexandria).

Properties
- Calculated total energy: -4.122 eV per atom
- ΔE to the lowest computed polymorph: 0 meV per atom
- Mass density: 10648 kg/m³
- V: 20.511 Å³ per atom

Cell: 7.654 7.654 7.654 Å, 142.63 142.63 53.88°
Positions (direct):
Be 0.000 0.000 0.000
Be 0.750 0.250 0.500
Pt 0.028 0.625 0.903
Pt 0.375 0.278 0.403
Pt 0.722 0.125 0.097
Pt 0.875 0.972 0.597
I 0.250 0.750 0.500
I 0.500 0.500 0.000

# Rb2BePtI6

A geometry-optimized Rb2BePtI6 structure (PBE, Alexandria).

Properties
- Calculated total energy: -2.786 eV per atom
- Mass density: 4415 kg/m³
- V: 42.742 Å³ per atom

Cell: 8.367 8.367 8.367 Å, 117.70 117.70 94.03°
Positions (direct):
Rb 0.250 0.750 0.500
Rb 0.750 0.250 0.500
Be 0.000 0.000 0.000
Pt 0.500 0.500 0.000
I 0.194 0.194 0.000
I 0.284 0.284 0.568
I 0.284 0.716 0.000
I 0.716 0.284 0.000
I 0.716 0.716 0.432
I 0.806 0.806 0.000